P.
VASP calculation (GGA-PBE) on Zr2TaTiN after structural relaxation.

```
5
Lattice="-1.602 2.300 -3.624 -4.292 -0.927 1.309 -0.068 3.414 2.197" Properties=species:S:1:pos:R:3 pbc="T T T"
N 0.000 0.000 0.000
Zr -0.801 1.150 -1.812
Zr -2.146 -0.463 0.654
Ti -0.034 1.707 1.098
Ta -2.980 2.393 -0.059
```

Summary:
volume: 17.043 Å³/atom
SG: P4/mmm, No. 123
N(E_F): 4.2 states/eV/f.u.

***

Q.
VASP calculation (GGA-PBE) on Zr2TaTiN after structural relaxation.

```
5
Lattice="-2.495 2.675 -2.728 -3.622 -2.693 0.673 -1.113 2.321 3.294" Properties=species:S:1:pos:R:3 pbc="T T T"
Zr -1.248 1.337 -1.364
Zr -1.811 -1.346 0.336
Ta -0.557 1.160 1.647
N 0.000 0.000 0.000
Ti -3.615 1.151 0.619
```

Summary:
volume: 17.410 Å³/atom
SG: P4/mmm, No. 123
N(E_F): 6.2 states/eV/f.u.

***

Which structure above is the least stable one? Q is the least stable one.